w:
TbPaRu: relaxed, PBE-GGA.

```
TbPaRu
1.0
4.760 0.000 0.000
2.380 4.122 0.000
2.380 1.374 3.887
Ru Tb Pa
1 1 1
Direct
0.250 0.250 0.250
0.500 0.500 0.500
0.000 0.000 0.000
```

Properties
Symmetry = F-43m, No. 216

---

x:
TbPaRu: relaxed, PBE-GGA.

```
TbPaRu
1.0
-0.464 2.055 2.822
-1.661 -2.634 1.645
5.877 -1.457 -0.170
Pa Ru Tb
1 1 1
Direct
0.302 0.302 0.604
0.695 0.695 0.391
0.003 0.003 0.005
```

Properties
Symmetry = I4mm, No. 107

---

Stability check: which of them is most stable? x.

---

w:
TbPaRu: relaxed, PBE-GGA.

```
TbPaRu
1.0
3.680 0.000 0.000
1.840 6.313 -0.903
1.840 -0.047 6.279
Tb Ru Pa
2 2 2
Direct
0.615 0.048 0.722
0.194 0.316 0.296
0.367 0.630 0.636
0.019 0.919 0.044
0.813 0.501 0.873
0.461 0.795 0.282
```

Properties
Symmetry = Cm, No. 8

---

x:
TbPaRu: relaxed, PBE-GGA.

```
TbPaRu
1.0
4.809 0.000 0.000
0.000 4.351 0.000
0.000 -2.176 3.768
Tb Ru Pa
1 1 1
Direct
0.667 0.667 0.333
0.166 0.000 0.000
0.167 0.333 0.667
```

Properties
Symmetry = P-6m2, No. 187

---

Stability check: which of them is most stable? w.

---

w:
Pa2TcRu: relaxed, PBE-GGA.

```
Pa2TcRu
1.0
-0.536 1.221 -4.668
3.669 -0.641 -3.114
-0.275 -3.457 -3.397
Tc Pa Ru
1 2 1
Direct
0.000 0.000 0.000
0.750 0.750 0.750
0.250 0.250 0.250
0.500 0.500 0.500
```

Properties
Symmetry = Fm-3m, No. 225

---

x:
Pa2TcRu: relaxed, PBE-GGA.

```
Pa2TcRu
1.0
-2.008 -2.045 1.945
0.363 -2.554 -2.311
5.433 -2.206 3.290
Pa Tc Ru
2 1 1
Direct
0.000 0.000 0.745
0.000 0.000 0.255
0.500 0.500 0.000
0.500 0.500 0.500
```

Properties
Symmetry = P4/mmm, No. 123

---

y:
Pa2TcRu: relaxed, PBE-GGA.

```
Pa2TcRu
1.0
3.084 0.219 0.339
-1.424 3.564 -0.399
0.606 -3.096 7.516
Pa Ru Tc
2 1 1
Direct
0.524 0.503 0.800
0.524 0.006 0.303
0.078 0.298 0.052
0.967 0.704 0.552
```

Properties
Symmetry = Pm, No. 6

---

Stability check: which of them is most stable? y.

---

w:
PaTc2Ru: relaxed, PBE-GGA.

```
PaTc2Ru
1.0
4.635 0.000 0.000
2.317 4.014 0.000
2.317 1.338 3.728
Pa Tc Ru
1 2 1
Direct
0.500 0.500 0.500
0.277 0.277 0.169
0.723 0.723 0.831
0.000 0.000 0.000
```

Properties
Symmetry = R-3m, No. 166

---

x:
PaTc2Ru: relaxed, PBE-GGA.

```
PaTc2Ru
1.0
4.131 0.000 0.000
0.000 4.045 0.000
0.000 0.000 4.045
Pa Tc Ru
1 2 1
Direct
0.500 0.000 0.000
0.000 0.500 0.000
0.000 0.000 0.500
0.500 0.500 0.500
```

Properties
Symmetry = P4/mmm, No. 123

---

Stability check: which of them is most stable? x.